CdSnTe2 | SCAN | PBEsol geometry

```
CdSnTe2
1.0
0.0000 3.7527 3.7527
3.7527 0.0000 3.7527
3.7527 3.7527 0.0000
Cd Sn Te
1 1 2
direct
0.0000 0.0000 0.0000 Cd
0.5000 0.5000 0.5000 Sn
0.2500 0.2500 0.2500 Te
0.7500 0.7500 0.7500 Te
```

## Properties
E	-140.564	eV for the cell shown
formation energy from raw total energies	68	meV per atom

Tl2CdSnTe4 | SCAN | PBEsol geometry

```
Tl2CdSnTe4
1.0
-4.1762 4.1762 3.5505
4.1762 -4.1762 3.5505
4.1762 4.1762 -3.5505
Tl Cd Sn Te
2 1 1 4
direct
0.0000 0.5000 0.5000 Tl
0.5000 0.0000 0.5000 Tl
0.0000 0.0000 0.0000 Cd
0.5000 0.5000 0.0000 Sn
0.0706 0.4427 0.0000 Te
0.4427 0.0706 0.0000 Te
0.5573 0.5573 0.6279 Te
0.9294 0.9294 0.3721 Te
```

## Properties
E	-362.473	eV for the cell shown
formation energy from raw total energies	-302	meV per atom

TlCdSn2 | SCAN | PBEsol geometry

```
TlCdSn2
1.0
-2.1720 2.1720 11.2466
2.1720 -2.1720 11.2466
2.1720 2.1720 -11.2466
Tl Cd Sn
2 2 4
direct
0.0000 0.0000 0.0000 Tl
0.7500 0.2500 0.5000 Tl
0.2500 0.7500 0.5000 Cd
0.5000 0.5000 0.0000 Cd
0.1294 0.6250 0.0044 Sn
0.3750 0.3794 0.5044 Sn
0.6206 0.1250 0.9956 Sn
0.8750 0.8706 0.4956 Sn
```

## Properties
DFT formation energy	0.118	eV/atom
E	-348.287	eV for the cell shown

Tl2CdSn | SCAN | PBEsol geometry

```
Tl2CdSn
1.0
0.0000 3.7432 3.7432
3.7432 0.0000 3.7432
3.7432 3.7432 0.0000
Tl Cd Sn
2 1 1
direct
0.2500 0.2500 0.2500 Tl
0.7500 0.7500 0.7500 Tl
0.0000 0.0000 0.0000 Cd
0.5000 0.5000 0.5000 Sn
```

## Properties
DFT formation energy	0.119	eV/atom
E	-210.575	eV for the cell shown

Tl2Cd2Sn | SCAN | PBEsol geometry

```
Tl2Cd2Sn
1.0
7.7117 0.0000 0.0000
0.0000 7.7117 0.0000
0.0000 0.0000 4.3693
Tl Cd Sn
4 4 2
direct
0.1724 0.3276 0.0000 Tl
0.3276 0.8276 0.0000 Tl
0.6724 0.1724 0.0000 Tl
0.8276 0.6724 0.0000 Tl
0.1316 0.6316 0.5000 Cd
0.3684 0.1316 0.5000 Cd
0.6316 0.8684 0.5000 Cd
0.8684 0.3684 0.5000 Cd
0.0000 0.0000 0.5000 Sn
0.5000 0.5000 0.5000 Sn
```

## Properties
DFT formation energy	0.103	eV/atom
E	-481.901	eV for the cell shown

Sr2Cd | SCAN | PBEsol geometry

```
Sr2Cd
1.0
-4.0331 4.0331 3.6225
4.0331 -4.0331 3.6225
4.0331 4.0331 -3.6225
Sr Cd
4 2
direct
0.1756 0.6756 0.8512 Sr
0.3244 0.1756 0.5000 Sr
0.6756 0.8244 0.5000 Sr
0.8244 0.3244 0.1488 Sr
0.2500 0.2500 0.0000 Cd
0.7500 0.7500 0.0000 Cd
```

## Properties
DFT formation energy	-0.261	eV/atom
E	-151.498	eV for the cell shown

Q: Among the records above, which one has the lowest E?
A: Tl2Cd2Sn